# HoPIrO PBE optimized geometry
# - total energy (eV/atom) = -7.39
# - ΔE to the lowest computed polymorph (meV per atom) = 538.8
data_HoPIrO
_cell_length_a 4.6095
_cell_length_b 4.2196
_cell_length_c 6.3670
_cell_angle_alpha 90.00
_cell_angle_beta 90.00
_cell_angle_gamma 90.00
_symmetry_space_group_name_H-M 'P 1'
_symmetry_Int_Tables_number 1
_symmetry_space_group_name_Hall 'P 1'
loop_
_atom_site_label
_atom_site_type_symbol
_atom_site_fract_x
_atom_site_fract_y
_atom_site_fract_z
Ho1 Ho 0.5000 0.2907 0.5916
Ho2 Ho 0.5000 0.7093 0.0916
O1 O 0.5000 0.1944 0.9375
O2 O 0.5000 0.8056 0.4375
Ir1 Ir 0.0000 0.1765 0.9377
Ir2 Ir 0.0000 0.8235 0.4377
P1 P 0.0000 0.3222 0.2872
P2 P 0.0000 0.6778 0.7872



# TbTmSi2Pt PBE optimized geometry
# - total energy (eV/atom) = -6.24
data_TbTmSi2Pt
_cell_length_a 5.5702
_cell_length_b 5.5702
_cell_length_c 10.1197
_cell_angle_alpha 115.31
_cell_angle_beta 115.31
_cell_angle_gamma 45.26
_symmetry_space_group_name_H-M 'P 1'
_symmetry_Int_Tables_number 1
_symmetry_space_group_name_Hall 'P 1'
loop_
_atom_site_label
_atom_site_type_symbol
_atom_site_fract_x
_atom_site_fract_y
_atom_site_fract_z
Pt1 Pt 0.7300 0.7300 0.8450
Pt2 Pt 0.2700 0.2700 0.1550
Si1 Si 0.6387 0.6387 0.0570
Si2 Si 0.3613 0.3613 0.9430
Si3 Si 0.5161 0.5161 0.3856
Si4 Si 0.4839 0.4839 0.6144
Tb1 Tb 0.1895 0.1895 0.6078
Tb2 Tb 0.8105 0.8105 0.3922
Tm1 Tm 0.9911 0.9911 0.1729
Tm2 Tm 0.0089 0.0089 0.8271



# AlWI7 PBE optimized geometry
# - total energy (eV/atom) = -3.31
data_AlWI7
_cell_length_a 7.9051
_cell_length_b 6.7960
_cell_length_c 17.0955
_cell_angle_alpha 90.00
_cell_angle_beta 98.85
_cell_angle_gamma 90.00
_symmetry_space_group_name_H-M 'P 1'
_symmetry_Int_Tables_number 1
_symmetry_space_group_name_Hall 'P 1'
loop_
_atom_site_label
_atom_site_type_symbol
_atom_site_fract_x
_atom_site_fract_y
_atom_site_fract_z
W1 W 0.9764 0.0781 0.9862
W2 W 0.9764 0.9219 0.4862
I1 I 0.0324 0.6747 0.3527
I2 I 0.7432 0.1335 0.3578
I3 I 0.6736 0.6754 0.4863
I4 I 0.8681 0.8515 0.0940
I5 I 0.0324 0.3253 0.8527
I6 I 0.5167 0.3904 0.7380
I7 I 0.6736 0.3246 0.9863
I8 I 0.7432 0.8665 0.8578
I9 I 0.1572 0.6741 0.5855
I10 I 0.8681 0.1485 0.5940
I11 I 0.2368 0.8545 0.9601
I12 I 0.2368 0.1455 0.4601
I13 I 0.5167 0.6096 0.2380
I14 I 0.1572 0.3259 0.0855
Al1 Al 0.7336 0.4858 0.8549
Al2 Al 0.7336 0.5142 0.3549



# ReIrClF5 PBE optimized geometry
# - total energy (eV/atom) = -5.36
data_ReIrClF5
_cell_length_a 5.5977
_cell_length_b 7.7970
_cell_length_c 5.6177
_cell_angle_alpha 90.00
_cell_angle_beta 90.28
_cell_angle_gamma 90.00
_symmetry_space_group_name_H-M 'P 1'
_symmetry_Int_Tables_number 1
_symmetry_space_group_name_Hall 'P 1'
loop_
_atom_site_label
_atom_site_type_symbol
_atom_site_fract_x
_atom_site_fract_y
_atom_site_fract_z
F1 F 0.2283 0.4178 0.8472
F2 F 0.7825 0.4190 0.7036
F3 F 0.2175 0.9190 0.2964
F4 F 0.2175 0.5810 0.2964
F5 F 0.7717 0.5822 0.1528
F6 F 0.2283 0.0822 0.8472
F7 F 0.7717 0.9178 0.1528
F8 F 0.7825 0.0810 0.7036
F9 F 0.8812 0.7500 0.5310
F10 F 0.1188 0.2500 0.4690
Cl1 Cl 0.4958 0.2500 0.2198
Cl2 Cl 0.5042 0.7500 0.7802
Re1 Re 0.0134 0.7500 0.1670
Re2 Re 0.9866 0.2500 0.8330
Ir1 Ir 0.1207 0.7500 0.7947
Ir2 Ir 0.8793 0.2500 0.2053



# KHgB PBE optimized geometry
# - total energy (eV/atom) = -1.37
# - ΔE to the lowest computed polymorph (meV per atom) = 182.5
data_KHgB
_cell_length_a 4.9577
_cell_length_b 4.9577
_cell_length_c 4.9577
_cell_angle_alpha 60.00
_cell_angle_beta 60.00
_cell_angle_gamma 60.00
_symmetry_space_group_name_H-M 'P 1'
_symmetry_Int_Tables_number 1
_symmetry_space_group_name_Hall 'P 1'
loop_
_atom_site_label
_atom_site_type_symbol
_atom_site_fract_x
_atom_site_fract_y
_atom_site_fract_z
Hg1 Hg 0.0000 0.0000 0.0000
B1 B 0.2500 0.2500 0.2500
K1 K 0.7500 0.7500 0.7500



# CsReNO PBE optimized geometry
# - total energy (eV/atom) = -6.27
# - ΔE to the lowest computed polymorph (meV per atom) = 943.6
data_CsReNO
_cell_length_a 3.7406
_cell_length_b 3.7406
_cell_length_c 11.1239
_cell_angle_alpha 90.00
_cell_angle_beta 90.00
_cell_angle_gamma 90.00
_symmetry_space_group_name_H-M 'P 1'
_symmetry_Int_Tables_number 1
_symmetry_space_group_name_Hall 'P 1'
loop_
_atom_site_label
_atom_site_type_symbol
_atom_site_fract_x
_atom_site_fract_y
_atom_site_fract_z
O1 O 0.2500 0.7500 0.0000
O2 O 0.7500 0.2500 0.0000
Cs1 Cs 0.7500 0.7500 0.8152
Cs2 Cs 0.2500 0.2500 0.1848
Re1 Re 0.7500 0.2500 0.5000
Re2 Re 0.2500 0.7500 0.5000
N1 N 0.7500 0.7500 0.4203
N2 N 0.2500 0.2500 0.5797



> Which formula does entry 6 have?

CsReNO